1.
# LiZrTi | the Alexandria database | PBE-GGA | relaxed
data_LiZrTi
_space_group_name_H-M_alt 'P 3 m 1'
_space_group_IT_number 156
_cell_length_a 3.0419
_cell_length_b 3.0419
_cell_length_c 7.6640
_cell_angle_alpha 90.00
_cell_angle_beta 90.00
_cell_angle_gamma 120.00
loop_
_space_group_symop_operation_xyz
'x,y,z'
'-y,x-y,z'
'-x+y,-x,z'
'-y,-x,z'
'-x+y,y,z'
'x,x-y,z'
loop_
_atom_site_label
_atom_site_type_symbol
_atom_site_fract_x
_atom_site_fract_y
_atom_site_fract_z
Li1 Li 0.0000 0.0000 0.0000
Zr1 Zr 0.3333 0.6667 0.6397
Ti1 Ti 0.6667 0.3333 0.3331
# ΔE_f: 21 kJ per mole of atoms
# Electronic total energy: -5.898 eV per atom
# Energy relative to the lowest polymorph listed for this composition: 84 meV per atom

=====

2.
# LiZr2Ti | the Alexandria database | PBE-GGA | relaxed
data_LiZr2Ti
_space_group_name_H-M_alt 'P 4/m m m'
_space_group_IT_number 123
_space_group_name_Hall '-P 4 2'
_cell_length_a 3.087
_cell_length_b 3.087
_cell_length_c 8.626
_cell_angle_alpha 90.00
_cell_angle_beta 90.00
_cell_angle_gamma 90.00
loop_
_atom_site_label
_atom_site_type_symbol
_atom_site_fract_x
_atom_site_fract_y
_atom_site_fract_z
Li1 Li 0.000 0.000 0.000
Zr1 Zr 0.500 0.500 0.266
Ti1 Ti 0.000 0.000 0.500
# ΔE_f: 9 kJ per mole of atoms
# Electronic total energy: -6.632 eV per atom

=====

3.
# LiZrTi2 | the Alexandria database | PBE-GGA | relaxed
data_LiZrTi2
_space_group_name_H-M_alt 'F m -3 m'
_space_group_IT_number 225
_space_group_name_Hall '-F 4 2 3'
_cell_length_a 6.612
_cell_length_b 6.612
_cell_length_c 6.612
_cell_angle_alpha 90.00
_cell_angle_beta 90.00
_cell_angle_gamma 90.00
loop_
_atom_site_label
_atom_site_type_symbol
_atom_site_fract_x
_atom_site_fract_y
_atom_site_fract_z
Li1 Li 0.000 0.000 0.000
Zr1 Zr 0.000 0.000 0.500
Ti1 Ti 0.250 0.250 0.250
# ΔE_f: 36 kJ per mole of atoms
# Electronic total energy: -6.191 eV per atom
# Energy relative to the lowest polymorph listed for this composition: 0 meV per atom

=====

4.
# LiZrTi2 | the Alexandria database | PBE-GGA | relaxed
data_LiZrTi2
_space_group_name_H-M_alt 'I -4 2 d'
_space_group_IT_number 122
_space_group_name_Hall 'I -4 2bw'
_cell_length_a 3.881
_cell_length_b 3.881
_cell_length_c 19.656
_cell_angle_alpha 90.00
_cell_angle_beta 90.00
_cell_angle_gamma 90.00
loop_
_atom_site_label
_atom_site_type_symbol
_atom_site_fract_x
_atom_site_fract_y
_atom_site_fract_z
Li1 Li 0.000 0.000 0.000
Zr1 Zr 0.000 0.000 0.500
Ti1 Ti 0.250 0.250 0.125
# ΔE_f: 50 kJ per mole of atoms
# Electronic total energy: -6.046 eV per atom
# Energy relative to the lowest polymorph listed for this composition: 145 meV per atom

=====

5.
# LiTl3 | the Alexandria database | PBE-GGA | relaxed
data_LiTl3
_space_group_name_H-M_alt 'P 1 2/m 1'
_space_group_IT_number 10
_cell_length_a 3.451
_cell_length_b 5.287
_cell_length_c 6.020
_cell_angle_alpha 90.00
_cell_angle_beta 96.89
_cell_angle_gamma 90.00
loop_
_space_group_symop_operation_xyz
'x,y,z'
'-x,-y,-z'
'-x,y,-z'
'x,-y,z'
loop_
_atom_site_label
_atom_site_type_symbol
_atom_site_fract_x
_atom_site_fract_y
_atom_site_fract_z
Li1 Li 0.000 0.000 0.000
Tl1 Tl 0.215 0.500 0.761
Tl2 Tl 0.500 0.000 0.500
# ΔE_f: -5 kJ per mole of atoms
# Electronic total energy: -2.302 eV per atom

=====

6.
# Li5Tl2 | the Alexandria database | PBE-GGA | relaxed
data_Li5Tl2
_space_group_name_H-M_alt 'R -3 m'
_space_group_IT_number 166
_space_group_name_Hall '-R 3 2"'
_cell_length_a 4.7092
_cell_length_b 4.7092
_cell_length_c 20.5128
_cell_angle_alpha 90.00
_cell_angle_beta 90.00
_cell_angle_gamma 120.00
loop_
_atom_site_label
_atom_site_type_symbol
_atom_site_fract_x
_atom_site_fract_y
_atom_site_fract_z
Li1 Li 0.0000 0.0000 0.0000
Li2 Li 0.0000 0.0000 0.1466
Li3 Li 0.0000 0.0000 0.2873
Tl1 Tl 0.0000 0.0000 0.4254
# ΔE_f: -22 kJ per mole of atoms
# Electronic total energy: -2.275 eV per atom
# Energy relative to the lowest polymorph listed for this composition: 0 meV per atom

=====

7.
# LiTl4 | the Alexandria database | PBE-GGA | relaxed
data_LiTl4
_space_group_name_H-M_alt 'I 4/m m m'
_space_group_IT_number 139
_space_group_name_Hall '-I 4 2'
_cell_length_a 3.464
_cell_length_b 3.464
_cell_length_c 22.412
_cell_angle_alpha 90.00
_cell_angle_beta 90.00
_cell_angle_gamma 90.00
loop_
_atom_site_label
_atom_site_type_symbol
_atom_site_fract_x
_atom_site_fract_y
_atom_site_fract_z
Li1 Li 0.000 0.000 0.000
Tl1 Tl 0.000 0.000 0.190
Tl2 Tl 0.000 0.000 0.419
# ΔE_f: -7 kJ per mole of atoms
# Electronic total energy: -2.345 eV per atom
# Energy relative to the lowest polymorph listed for this composition: 0 meV per atom

=====

8.
# Li5Tl6 | the Alexandria database | PBE-GGA | relaxed
data_Li5Tl6
_space_group_name_H-M_alt 'C 1 2/m 1'
_space_group_IT_number 12
_cell_length_a 15.526
_cell_length_b 6.784
_cell_length_c 4.904
_cell_angle_alpha 90.00
_cell_angle_beta 107.74
_cell_angle_gamma 90.00
loop_
_space_group_symop_operation_xyz
'x,y,z'
'-x,-y,-z'
'-x,y,-z'
'x,-y,z'
'x+1/2,y+1/2,z'
'-x+1/2,-y+1/2,-z'
'-x+1/2,y+1/2,-z'
'x+1/2,-y+1/2,z'
loop_
_atom_site_label
_atom_site_type_symbol
_atom_site_fract_x
_atom_site_fract_y
_atom_site_fract_z
Li1 Li 0.000 0.000 0.000
Li2 Li 0.166 0.000 0.666
Li3 Li 0.173 0.500 0.671
Tl1 Tl 0.000 0.264 0.500
Tl2 Tl 0.160 0.257 0.158
# ΔE_f: -17 kJ per mole of atoms
# Electronic total energy: -2.336 eV per atom